# 1
Density functional theory data (PBE) for a relaxed structure of Cs2NaTeBr6.

POSCAR file:
```
Cs2NaTeBr6
1.0
-4.038 4.038 6.122
4.038 -4.038 6.122
4.038 4.038 -6.122
Cs Na Te Br
2 1 1 6
Cartesian
4.038 0.000 3.061
0.000 4.038 3.061
0.000 0.000 0.000
0.000 0.000 6.122
0.000 0.000 2.853
2.114 2.114 0.000
1.924 -1.924 6.122
-1.924 1.924 6.122
1.924 1.924 6.122
0.000 0.000 9.390
```

Space group: I4/mmm, No. 139
Raw formation energy, eV/atom: -1.123
Excess energy over the best structure of this formula in the dataset, meV per atom: 0.0

=====

# 2
Density functional theory data (PBE) for a relaxed structure of CsNaTeBr6.

POSCAR file:
```
CsNaTeBr6
1.0
7.547 0.000 0.000
-3.774 6.536 0.000
0.000 0.000 8.000
Cs Na Te Br
1 1 1 6
Cartesian
0.000 0.000 0.000
0.000 4.357 4.000
3.774 2.179 4.000
2.804 0.173 5.601
1.551 2.342 2.400
4.744 0.173 2.400
2.521 4.022 5.601
5.996 2.342 5.601
5.026 4.022 2.400
```

Space group: P312, No. 149
Raw formation energy, eV/atom: -0.968

=====

# 3
Density functional theory data (PBE) for a relaxed structure of CsNa2ThBr8.

POSCAR file:
```
CsNa2ThBr8
1.0
6.207 0.000 0.000
-0.084 7.358 0.000
-0.028 -0.006 10.266
Cs Na Th Br
1 2 1 8
Cartesian
0.000 0.000 0.000
3.056 3.677 2.787
3.039 3.675 7.479
-0.014 -0.003 5.133
1.469 6.201 3.053
1.467 6.209 7.219
1.523 2.406 5.129
1.497 3.586 10.266
4.598 3.765 0.000
4.572 4.946 5.137
4.628 1.143 3.047
4.626 1.150 7.213
```

Space group: P-1, No. 2
Raw formation energy, eV/atom: -1.513

=====

# 4
Density functional theory data (PBE) for a relaxed structure of CsNa2TiBr6.

POSCAR file:
```
CsNa2TiBr6
1.0
7.531 0.000 0.000
3.763 6.561 0.000
3.717 2.163 6.910
Cs Na Ti Br
1 2 1 6
Cartesian
0.000 0.000 0.000
3.740 2.161 2.678
11.246 6.525 5.593
7.494 4.352 2.631
6.336 6.184 4.104
5.548 3.756 1.000
6.508 2.382 4.085
7.975 6.356 1.004
9.681 4.422 4.114
9.012 2.972 0.994
```

Space group: P1, No. 1
Raw formation energy, eV/atom: -1.419

=====

# 5
Density functional theory data (PBE) for a relaxed structure of CsNaTlBr3.

POSCAR file:
```
CsNaTlBr3
1.0
9.212 0.000 0.000
0.000 5.112 0.000
-3.675 0.000 10.143
Cs Na Tl Br
2 2 2 6
Cartesian
1.136 1.278 2.533
4.401 3.834 7.609
-0.910 1.278 6.371
6.447 3.834 3.771
-0.253 3.834 8.998
5.791 1.278 1.145
-2.356 1.278 8.895
-0.176 3.834 5.251
3.759 3.834 2.056
1.778 1.278 8.086
5.713 1.278 4.891
7.894 3.834 1.248
```

Space group: P2_1/m, No. 11
Raw formation energy, eV/atom: -1.366

=====

# 6
Density functional theory data (PBE) for a relaxed structure of CsNa2TlBr4.

POSCAR file:
```
CsNa2TlBr4
1.0
2.245 -8.158 0.000
2.245 8.158 0.000
0.000 0.000 16.889
Cs Na Tl Br
2 4 2 8
Cartesian
2.245 5.053 12.667
2.245 -5.053 4.222
2.245 2.081 8.665
2.245 2.081 16.669
2.245 -2.081 0.220
2.245 -2.081 8.224
2.245 6.588 4.222
2.245 -6.588 12.667
0.000 0.000 0.000
0.000 0.000 8.445
2.245 4.445 1.663
2.245 4.445 6.781
2.245 0.461 4.222
2.245 -0.461 12.667
2.245 -4.445 10.108
2.245 -4.445 15.226
```

Space group: Cmcm, No. 63
Raw formation energy, eV/atom: -1.349

=====

# 7
Density functional theory data (PBE) for a relaxed structure of Cs2NaTlBr6.

POSCAR file:
```
Cs2NaTlBr6
1.0
0.000 5.735 5.735
5.735 0.000 5.735
5.735 5.735 0.000
Cs Na Tl Br
2 1 1 6
Cartesian
2.868 2.868 2.868
8.603 8.603 8.603
0.000 0.000 0.000
5.735 5.735 5.735
5.735 5.735 2.945
5.735 2.945 5.735
8.526 5.735 5.735
2.945 5.735 5.735
5.735 8.526 5.735
5.735 5.735 8.526
```

Space group: Fm-3m, No. 225
Raw formation energy, eV/atom: -1.242

=====

# 8
Density functional theory data (PBE) for a relaxed structure of Cs3NaTl2Br9.

POSCAR file:
```
Cs3NaTl2Br9
1.0
8.136 0.000 0.000
-4.068 7.046 0.000
0.000 0.000 10.042
Cs Na Tl Br
3 1 2 9
Cartesian
0.000 0.000 0.000
0.000 4.697 6.608
4.068 2.349 3.434
0.000 0.000 5.021
0.000 4.697 1.721
4.068 2.349 8.321
-2.034 3.523 0.000
0.000 2.357 3.280
-2.027 5.867 3.280
2.041 1.178 6.762
4.068 0.000 0.000
2.034 3.523 0.000
2.027 5.867 3.280
6.095 1.178 6.762
4.068 4.689 6.762
```

Space group: P-3m1, No. 164
Raw formation energy, eV/atom: -1.192

=====

# 9
Density functional theory data (PBE) for a relaxed structure of Cs2NaTl3Br6.

POSCAR file:
```
Cs2NaTl3Br6
1.0
4.239 -7.365 0.000
4.239 7.365 0.000
-2.859 0.000 7.801
Cs Na Tl Br
2 1 3 6
Cartesian
4.239 4.899 0.000
4.239 -4.899 0.000
4.239 0.000 0.000
-1.430 0.000 3.900
2.809 2.389 3.900
2.809 -2.389 3.900
0.152 2.131 5.891
1.655 0.000 2.029
0.152 -2.131 5.891
5.466 2.131 1.910
3.963 0.000 5.772
5.466 -2.131 1.910
```

Space group: C2/m, No. 12
Raw formation energy, eV/atom: -1.263

=====

# 10
Density functional theory data (PBE) for a relaxed structure of CsNaTl2Br8.

POSCAR file:
```
CsNaTl2Br8
1.0
-3.683 3.683 8.802
3.683 -3.683 8.802
3.683 3.683 -8.802
Cs Na Tl Br
1 1 2 8
Cartesian
0.000 0.000 0.000
3.683 0.000 4.401
0.000 0.000 8.802
0.000 3.683 4.401
1.819 -1.083 7.240
2.600 1.864 1.562
-1.284 1.773 3.097
1.864 4.766 -1.562
1.910 2.399 5.705
1.083 1.819 10.364
1.284 5.593 3.097
-1.910 4.967 5.705
```

Space group: I-4, No. 82
Raw formation energy, eV/atom: -0.872

=====

# 11
Density functional theory data (PBE) for a relaxed structure of CsNa2Tl3Br6.

POSCAR file:
```
CsNa2Tl3Br6
1.0
10.220 -2.347 0.000
10.220 2.347 0.000
-2.033 0.000 9.253
Cs Na Tl Br
1 2 3 6
Cartesian
0.000 0.000 0.000
5.326 0.000 6.071
13.081 0.000 3.182
-1.016 0.000 4.626
6.446 0.000 1.628
11.962 0.000 7.625
2.419 0.000 5.347
3.409 0.000 1.070
8.243 0.000 6.669
10.164 0.000 2.584
14.999 0.000 8.183
15.989 0.000 3.906
```

Space group: C2/m, No. 12
Raw formation energy, eV/atom: -1.218

=====

# 12
Density functional theory data (PBE) for a relaxed structure of Cs2NaTlBr4.

POSCAR file:
```
Cs2NaTlBr4
1.0
8.438 0.000 0.000
0.000 4.870 0.000
-2.769 0.000 7.997
Cs Na Tl Br
2 1 1 4
Cartesian
0.000 0.000 0.000
4.219 2.435 0.000
-1.385 2.435 3.998
2.834 0.000 3.998
-0.069 0.000 5.694
1.275 2.435 2.271
4.393 2.435 5.726
5.737 0.000 2.303
```

Space group: P2/m, No. 10
Raw formation energy, eV/atom: -1.463